AcSiAs2, relaxed, DFT PBE; offset from the most stable computed form = 74 meV/atom; total moment = 0.0 μB/f.u.; space-group type = P4/mmm, No. 123; calculated density = 7.15 g/cm3; uncorrected energy = -20.3 eV per cell; Fermi-level density of states = 2.87 states/eV/cell
1.0
4.705 0.000 0.000
0.000 4.705 0.000
0.000 0.000 4.248
Ac Si As
1 1 2
Direct
0.000 0.000 0.000 Ac
0.500 0.500 0.000 Si
0.000 0.500 0.500 As
0.500 0.000 0.500 As

=====

Ac4SiTeAs2, relaxed, DFT PBE; total moment = 0.0 μB/f.u.; space-group type = P2/m, No. 10; calculated density = 7.27 g/cm3; uncorrected energy = -44.4 eV per cell; Fermi-level density of states = 1.42 states/eV/cell
1.0
7.991 0.000 0.000
0.000 4.584 0.000
-2.628 0.000 7.570
Ac Si Te As
4 1 1 2
Direct
0.237 0.000 0.233 Ac
0.245 0.500 0.758 Ac
0.755 0.500 0.242 Ac
0.763 0.000 0.767 Ac
0.500 0.000 0.000 Si
0.500 0.500 0.500 Te
0.000 0.000 0.500 As
0.000 0.500 0.000 As

=====

Ac6Si2Te3As, relaxed, DFT PBE; total moment = 0.0 μB/f.u.; space-group type = C2/m, No. 12; calculated density = 7.19 g/cm3; uncorrected energy = -64.8 eV per cell; Fermi-level density of states = 2.82 states/eV/cell
1.0
10.241 -2.318 0.000
10.241 2.318 0.000
-2.373 0.000 9.124
Ac Si Te As
6 2 3 1
Direct
0.007 0.007 0.238 Ac
0.327 0.327 0.432 Ac
0.338 0.338 0.899 Ac
0.662 0.662 0.101 Ac
0.673 0.673 0.568 Ac
0.993 0.993 0.762 Ac
0.166 0.166 0.331 Si
0.834 0.834 0.669 Si
0.165 0.165 0.834 Te
0.500 0.500 0.500 Te
0.835 0.835 0.166 Te
0.500 0.500 0.000 As

=====

Ac6SiTe3As2, relaxed, DFT PBE; total moment = 0.0 μB/f.u.; space-group type = C2/m, No. 12; calculated density = 7.45 g/cm3; uncorrected energy = -65.9 eV per cell; Fermi-level density of states = 3.14 states/eV/cell
1.0
3.999 -6.928 0.000
3.999 6.928 0.000
-2.662 0.000 7.736
Ac Si Te As
6 1 3 2
Direct
0.074 0.404 0.223 Ac
0.255 0.255 0.776 Ac
0.404 0.074 0.223 Ac
0.596 0.926 0.777 Ac
0.745 0.745 0.224 Ac
0.926 0.596 0.777 Ac
0.000 0.000 0.000 Si
0.168 0.832 0.500 Te
0.500 0.500 0.500 Te
0.832 0.168 0.500 Te
0.334 0.666 0.000 As
0.666 0.334 0.000 As

=====

AcSmAs2, relaxed, DFT PBE; E_form = -1.32 eV per atom; offset from the most stable computed form = 158 meV/atom; total moment = 0.0 μB/f.u.; space-group type = R3m, No. 160; calculated density = 7.21 g/cm3; uncorrected energy = -70.3 eV per cell; Fermi-level density of states = 0.66 states/eV/cell
1.0
4.324 0.000 0.000
-2.162 3.745 0.000
0.000 0.000 22.483
Ac Sm As
3 3 6
Direct
0.000 0.000 0.000 Ac
0.333 0.667 0.667 Ac
0.667 0.333 0.333 Ac
0.000 0.000 0.171 Sm
0.333 0.667 0.838 Sm
0.667 0.333 0.504 Sm
0.000 0.000 0.424 As
0.000 0.000 0.582 As
0.333 0.667 0.091 As
0.333 0.667 0.249 As
0.667 0.333 0.757 As
0.667 0.333 0.915 As

=====

AcSm3As4, relaxed, DFT PBE; E_form = -1.47 eV per atom; total moment = 0.0 μB/f.u.; space-group type = Pm-3m, No. 221; calculated density = 7.18 g/cm3; uncorrected energy = -48.6 eV per cell; Fermi-level density of states = 1.21 states/eV/cell
1.0
6.093 0.000 0.000
0.000 6.093 0.000
0.000 0.000 6.093
Ac Sm As
1 3 4
Direct
0.000 0.000 0.000 Ac
0.000 0.500 0.500 Sm
0.500 0.000 0.500 Sm
0.500 0.500 0.000 Sm
0.000 0.000 0.500 As
0.000 0.500 0.000 As
0.500 0.000 0.000 As
0.500 0.500 0.500 As

=====

Ac2SmAs, relaxed, DFT PBE; E_form = -0.50 eV per atom; total moment = 0.0 μB/f.u.; space-group type = R-3m, No. 166; calculated density = 7.31 g/cm3; uncorrected energy = -58.7 eV per cell; Fermi-level density of states = 18.95 states/eV/cell
1.0
4.190 0.000 0.000
-2.095 3.628 0.000
0.000 0.000 30.434
Ac Sm As
6 3 3
Direct
0.000 0.000 0.231 Ac
0.000 0.000 0.769 Ac
0.333 0.667 0.436 Ac
0.333 0.667 0.898 Ac
0.667 0.333 0.102 Ac
0.667 0.333 0.564 Ac
0.000 0.000 0.000 Sm
0.333 0.667 0.667 Sm
0.667 0.333 0.333 Sm
0.000 0.000 0.500 As
0.333 0.667 0.167 As
0.667 0.333 0.833 As

=====

Ac5Sm3As8, relaxed, DFT PBE; E_form = -1.47 eV per atom; total moment = 0.0 μB/f.u.; space-group type = R-3m, No. 166; calculated density = 7.38 g/cm3; uncorrected energy = -95.4 eV per cell; Fermi-level density of states = 2.70 states/eV/cell
1.0
4.429 2.557 7.236
-4.429 2.557 7.236
0.000 -5.114 7.236
Ac Sm As
5 3 8
Direct
0.000 0.000 0.000 Ac
0.000 0.500 0.500 Ac
0.500 0.000 0.500 Ac
0.500 0.500 0.000 Ac
0.500 0.500 0.500 Ac
0.000 0.000 0.500 Sm
0.000 0.500 0.000 Sm
0.500 0.000 0.000 Sm
0.238 0.750 0.750 As
0.245 0.245 0.245 As
0.250 0.250 0.762 As
0.250 0.762 0.250 As
0.750 0.238 0.750 As
0.750 0.750 0.238 As
0.755 0.755 0.755 As
0.762 0.250 0.250 As

=====

AcSmAs2, relaxed, DFT PBE; E_form = -1.48 eV per atom; offset from the most stable computed form = 0 meV/atom; total moment = 0.0 μB/f.u.; space-group type = R-3m, No. 166; calculated density = 7.34 g/cm3; uncorrected energy = -72.2 eV per cell; Fermi-level density of states = 1.50 states/eV/cell
1.0
4.383 0.000 0.000
-2.191 3.795 0.000
0.000 0.000 21.497
Ac Sm As
3 3 6
Direct
0.000 0.000 0.000 Ac
0.333 0.667 0.667 Ac
0.667 0.333 0.333 Ac
0.000 0.000 0.500 Sm
0.333 0.667 0.167 Sm
0.667 0.333 0.833 Sm
0.000 0.000 0.244 As
0.000 0.000 0.756 As
0.333 0.667 0.422 As
0.333 0.667 0.911 As
0.667 0.333 0.089 As
0.667 0.333 0.578 As

=====

AcSmAs2, relaxed, DFT PBE; E_form = -1.45 eV per atom; offset from the most stable computed form = 33 meV/atom; total moment = 0.0 μB/f.u.; space-group type = P6_3/mmc, No. 194; calculated density = 7.40 g/cm3; uncorrected energy = -47.8 eV per cell; Fermi-level density of states = 0.91 states/eV/cell
1.0
4.342 0.000 0.000
-2.171 3.761 0.000
0.000 0.000 14.497
Ac Sm As
2 2 4
Direct
0.333 0.667 0.250 Ac
0.667 0.333 0.750 Ac
0.000 0.000 0.000 Sm
0.000 0.000 0.500 Sm
0.333 0.667 0.615 As
0.333 0.667 0.885 As
0.667 0.333 0.115 As
0.667 0.333 0.385 As

=====

Ac3SmAs4, relaxed, DFT PBE; E_form = -1.47 eV per atom; offset from the most stable computed form = 0 meV/atom; total moment = 0.0 μB/f.u.; space-group type = Cmmm, No. 65; calculated density = 7.43 g/cm3; uncorrected energy = -94.8 eV per cell; Fermi-level density of states = 1.14 states/eV/cell
1.0
8.946 0.000 0.000
0.000 12.637 0.000
0.000 0.000 4.474
Ac Sm As
6 2 8
Direct
0.000 0.000 0.000 Ac
0.250 0.250 0.500 Ac
0.250 0.750 0.500 Ac
0.500 0.500 0.000 Ac
0.750 0.250 0.500 Ac
0.750 0.750 0.500 Ac
0.000 0.500 0.000 Sm
0.500 0.000 0.000 Sm
0.000 0.256 0.000 As
0.000 0.744 0.000 As
0.239 0.500 0.500 As
0.261 0.000 0.500 As
0.500 0.244 0.000 As
0.500 0.756 0.000 As
0.739 0.000 0.500 As
0.761 0.500 0.500 As

=====

AcSm2As3, relaxed, DFT PBE; E_form = -1.48 eV per atom; total moment = 0.0 μB/f.u.; space-group type = Immm, No. 71; calculated density = 7.23 g/cm3; uncorrected energy = -72.7 eV per cell; Fermi-level density of states = 1.09 states/eV/cell
1.0
4.326 0.000 0.000
0.000 6.146 0.000
0.000 0.000 12.995
Ac Sm As
2 4 6
Direct
0.000 0.000 0.000 Ac
0.500 0.500 0.500 Ac
0.000 0.000 0.334 Sm
0.000 0.000 0.666 Sm
0.500 0.500 0.166 Sm
0.500 0.500 0.834 Sm
0.000 0.500 0.000 As
0.000 0.500 0.324 As
0.000 0.500 0.676 As
0.500 0.000 0.176 As
0.500 0.000 0.500 As
0.500 0.000 0.824 As

=====

AcSm2As, relaxed, DFT PBE; E_form = -0.66 eV per atom; total moment = 0.0 μB/f.u.; space-group type = R-3m, No. 166; calculated density = 7.30 g/cm3; uncorrected energy = -62.5 eV per cell; Fermi-level density of states = 10.23 states/eV/cell
1.0
4.033 0.000 0.000
-2.016 3.493 0.000
0.000 0.000 29.179
Ac Sm As
3 6 3
Direct
0.000 0.000 0.000 Ac
0.333 0.667 0.667 Ac
0.667 0.333 0.333 Ac
0.000 0.000 0.226 Sm
0.000 0.000 0.774 Sm
0.333 0.667 0.441 Sm
0.333 0.667 0.892 Sm
0.667 0.333 0.108 Sm
0.667 0.333 0.559 Sm
0.000 0.000 0.500 As
0.333 0.667 0.167 As
0.667 0.333 0.833 As

=====

Ac3SmAs4, relaxed, DFT PBE; E_form = -1.45 eV per atom; offset from the most stable computed form = 18 meV/atom; total moment = 0.0 μB/f.u.; space-group type = Pm-3m, No. 221; calculated density = 7.39 g/cm3; uncorrected energy = -47.2 eV per cell; Fermi-level density of states = 1.99 states/eV/cell
1.0
6.333 0.000 0.000
0.000 6.333 0.000
0.000 0.000 6.333
Ac Sm As
3 1 4
Direct
0.000 0.000 0.500 Ac
0.000 0.500 0.000 Ac
0.500 0.000 0.000 Ac
0.500 0.500 0.500 Sm
0.000 0.000 0.000 As
0.000 0.500 0.500 As
0.500 0.000 0.500 As
0.500 0.500 0.000 As

=====

AcSmAs2, relaxed, DFT PBE; E_form = -1.06 eV per atom; offset from the most stable computed form = 423 meV/atom; total moment = 0.0 μB/f.u.; space-group type = P4/mmm, No. 123; calculated density = 8.17 g/cm3; uncorrected energy = -22.4 eV per cell; Fermi-level density of states = 1.89 states/eV/cell
1.0
5.339 0.000 0.000
0.000 5.339 0.000
0.000 0.000 3.759
Ac Sm As
1 1 2
Direct
0.000 0.000 0.000 Ac
0.500 0.500 0.000 Sm
0.000 0.500 0.500 As
0.500 0.000 0.500 As

=====

AcSm5As6, relaxed, DFT PBE; E_form = -1.50 eV per atom; total moment = 0.0 μB/f.u.; space-group type = C2/m, No. 12; calculated density = 7.15 g/cm3; uncorrected energy = -73.6 eV per cell; Fermi-level density of states = 0.91 states/eV/cell
1.0
3.704 -6.413 0.000
3.704 6.413 0.000
-2.473 0.000 6.980
Ac Sm As
1 5 6
Direct
0.000 0.000 0.000 Ac
0.165 0.835 0.500 Sm
0.333 0.667 0.000 Sm
0.500 0.500 0.500 Sm
0.667 0.333 0.000 Sm
0.835 0.165 0.500 Sm
0.085 0.428 0.256 As
0.258 0.258 0.745 As
0.428 0.085 0.256 As
0.572 0.915 0.744 As
0.742 0.742 0.255 As
0.915 0.572 0.744 As

=====

Ac4SmAs5, relaxed, DFT PBE; E_form = -1.47 eV per atom; total moment = 0.0 μB/f.u.; space-group type = I4/m, No. 87; calculated density = 7.44 g/cm3; uncorrected energy = -59.1 eV per cell; Fermi-level density of states = 1.01 states/eV/cell
1.0
-5.015 5.015 3.179
5.015 -5.015 3.179
5.015 5.015 -3.179
Ac Sm As
4 1 5
Direct
0.098 0.299 0.397 Ac
0.299 0.902 0.201 Ac
0.701 0.098 0.799 Ac
0.902 0.701 0.603 Ac
0.500 0.500 0.000 Sm
0.000 0.000 0.000 As
0.209 0.597 0.806 As
0.403 0.209 0.613 As
0.597 0.791 0.387 As
0.791 0.403 0.194 As

=====

AcSm2As, relaxed, DFT PBE; E_form = -0.66 eV per atom; total moment = 0.0 μB/f.u.; space-group type = R3m, No. 160; calculated density = 7.27 g/cm3; uncorrected energy = -62.5 eV per cell; Fermi-level density of states = 11.47 states/eV/cell
1.0
4.044 0.000 0.000
-2.022 3.502 0.000
0.000 0.000 29.143
Ac Sm As
3 6 3
Direct
0.000 0.000 0.000 Ac
0.333 0.667 0.667 Ac
0.667 0.333 0.333 Ac
0.000 0.000 0.558 Sm
0.000 0.000 0.774 Sm
0.333 0.667 0.225 Sm
0.333 0.667 0.441 Sm
0.667 0.333 0.107 Sm
0.667 0.333 0.892 Sm
0.000 0.000 0.166 As
0.333 0.667 0.832 As
0.667 0.333 0.499 As

=====

AcSmAs2, relaxed, DFT PBE; E_form = -1.08 eV per atom; offset from the most stable computed form = 398 meV/atom; total moment = 0.0 μB/f.u.; space-group type = Fm-3m, No. 225; calculated density = 8.21 g/cm3; uncorrected energy = -89.9 eV per cell; Fermi-level density of states = 6.95 states/eV/cell
1.0
7.528 0.000 0.000
0.000 7.528 0.000
0.000 0.000 7.528
Ac Sm As
4 4 8
Direct
0.000 0.000 0.000 Ac
0.000 0.500 0.500 Ac
0.500 0.000 0.500 Ac
0.500 0.500 0.000 Ac
0.000 0.000 0.500 Sm
0.000 0.500 0.000 Sm
0.500 0.000 0.000 Sm
0.500 0.500 0.500 Sm
0.250 0.250 0.250 As
0.250 0.250 0.750 As
0.250 0.750 0.250 As
0.250 0.750 0.750 As
0.750 0.250 0.250 As
0.750 0.250 0.750 As
0.750 0.750 0.250 As
0.750 0.750 0.750 As

=====

Ac2TbSmAs4, relaxed, DFT PBE; E_form = -1.48 eV per atom; total moment = 0.0 μB/f.u.; space-group type = P2/m, No. 10; calculated density = 7.50 g/cm3; uncorrected energy = -48.0 eV per cell; Fermi-level density of states = 0.70 states/eV/cell
1.0
7.556 0.000 0.000
0.000 4.365 0.000
-2.516 0.000 7.136
Ac Tb Sm As
2 1 1 4
Direct
0.000 0.000 0.000 Ac
0.500 0.500 0.000 Ac
0.000 0.500 0.500 Tb
0.500 0.000 0.500 Sm
0.241 0.000 0.730 As
0.254 0.500 0.269 As
0.746 0.500 0.731 As
0.759 0.000 0.270 As

=====

AcTbSm2As4, relaxed, DFT PBE; E_form = -1.48 eV per atom; total moment = 0.0 μB/f.u.; space-group type = P2/m, No. 10; calculated density = 7.35 g/cm3; uncorrected energy = -48.6 eV per cell; Fermi-level density of states = 0.74 states/eV/cell
1.0
7.422 0.000 0.000
0.000 4.287 0.000
-2.463 0.000 7.003
Ac Tb Sm As
1 1 2 4
Direct
0.000 0.000 0.000 Ac
0.500 0.500 0.000 Tb
0.000 0.500 0.500 Sm
0.500 0.000 0.500 Sm
0.259 0.000 0.747 As
0.263 0.500 0.260 As
0.737 0.500 0.740 As
0.741 0.000 0.253 As

=====

AcSmTeAs, relaxed, DFT PBE; total moment = 0.0 μB/f.u.; space-group type = R3m, No. 160; calculated density = 7.53 g/cm3; uncorrected energy = -68.2 eV per cell; Fermi-level density of states = 5.11 states/eV/cell
1.0
4.435 0.000 0.000
-2.218 3.841 0.000
0.000 0.000 22.530
Ac Sm Te As
3 3 3 3
Direct
0.000 0.000 0.000 Ac
0.333 0.667 0.667 Ac
0.667 0.333 0.333 Ac
0.000 0.000 0.519 Sm
0.333 0.667 0.186 Sm
0.667 0.333 0.852 Sm
0.000 0.000 0.765 Te
0.333 0.667 0.432 Te
0.667 0.333 0.099 Te
0.000 0.000 0.253 As
0.333 0.667 0.920 As
0.667 0.333 0.587 As

=====

Ac2SmThAs4, relaxed, DFT PBE; E_form = -1.48 eV per atom; total moment = 0.0 μB/f.u.; space-group type = P2/m, No. 10; calculated density = 7.91 g/cm3; uncorrected energy = -50.8 eV per cell; Fermi-level density of states = 1.77 states/eV/cell
1.0
7.566 0.000 0.000
0.000 4.379 0.000
-2.524 0.000 7.202
Ac Sm Th As
2 1 1 4
Direct
0.000 0.000 0.000 Ac
0.500 0.500 0.000 Ac
0.000 0.500 0.500 Sm
0.500 0.000 0.500 Th
0.245 0.000 0.732 As
0.257 0.500 0.269 As
0.743 0.500 0.731 As
0.755 0.000 0.268 As

=====

Ac3SmTh2As6, relaxed, DFT PBE; E_form = -1.47 eV per atom; total moment = 0.0 μB/f.u.; space-group type = C2/m, No. 12; calculated density = 8.09 g/cm3; uncorrected energy = -77.4 eV per cell; Fermi-level density of states = 2.44 states/eV/cell
1.0
3.787 -6.564 0.000
3.787 6.564 0.000
-2.521 0.000 7.206
Ac Sm Th As
3 1 2 6
Direct
0.000 0.000 0.000 Ac
0.334 0.666 0.000 Ac
0.666 0.334 0.000 Ac
0.500 0.500 0.500 Sm
0.167 0.833 0.500 Th
0.833 0.167 0.500 Th
0.089 0.423 0.269 As
0.242 0.242 0.731 As
0.423 0.089 0.269 As
0.577 0.911 0.731 As
0.758 0.758 0.269 As
0.911 0.577 0.731 As

=====

Ac2SmTmAs4, relaxed, DFT PBE; E_form = -1.46 eV per atom; total moment = 0.0 μB/f.u.; space-group type = P2/m, No. 10; calculated density = 7.66 g/cm3; uncorrected energy = -47.7 eV per cell; Fermi-level density of states = 0.72 states/eV/cell
1.0
7.526 0.000 0.000
0.000 4.349 0.000
-2.507 0.000 7.103
Ac Sm Tm As
2 1 1 4
Direct
0.000 0.000 0.000 Ac
0.500 0.500 0.000 Ac
0.000 0.500 0.500 Sm
0.500 0.000 0.500 Tm
0.247 0.000 0.729 As
0.262 0.500 0.273 As
0.738 0.500 0.727 As
0.753 0.000 0.271 As